The following is a GGA-PBE calculation of a geometry-optimized Sr2SmGeS5 structure, from the Alexandria database.

The structure belongs to space group Cmc2_1 (No. 36); the cell edges are 4.227, 17.764 and 12.139 Å and the angles 90.00°, 90.00° and 90.00°. The distinct sites, in fractional coordinates, are Sr at (0.000, 0.116, 0.000), Sr at (0.000, 0.122, 0.645), Sm at (0.000, 0.207, 0.344), Ge at (0.000, 0.448, 0.756), S at (0.000, 0.040, 0.340), S at (0.000, 0.295, 0.994), S at (0.000, 0.322, 0.686), S at (0.000, 0.357, 0.324) and S at (0.000, 0.498, 0.087).

The uncorrected energy comes out at -190.632 eV/cell. The raw formation energy comes out at -1591.2 meV per atom. The value obtained for the total magnetization is 0.0 Bohr magnetons per cell.